Record 1
! GGA-PBE Ce6AlBi, relaxed; values from VASP
&SYSTEM
  ibrav = 0, nat = 8, ntyp = 3
/
ATOMIC_SPECIES
Ce 140.12 Ce.upf
Al 26.98 Al.upf
Bi 208.98 Bi.upf
CELL_PARAMETERS angstrom
-1.601 -0.975 -4.367
4.264 -1.739 -1.175
-2.721 -8.650 2.928
ATOMIC_POSITIONS angstrom
Ce 1.332 -1.357 -2.771
Ce 1.424 -3.120 0.174
Ce -1.508 -2.738 -1.422
Ce -0.028 -5.682 -1.307
Ce 0.119 -7.269 1.579
Ce -2.813 -6.887 -0.017
Al -1.360 -4.325 1.464
Bi 0.000 0.000 0.000
! electronic total energy: -5.68 eV per atom
! total moment: 5.29 μB/cell
! volume: 26.90 Å³ per atom
! SG: P4/mmm, No. 123
! energy relative to the elements: -0.2794 eV/atom

---

Record 2
! GGA-PBE YTa2P, relaxed; values from VASP
&SYSTEM
  ibrav = 0, nat = 4, ntyp = 3
/
ATOMIC_SPECIES
Ta 180.95 Ta.upf
P 30.97 P.upf
Y 88.91 Y.upf
CELL_PARAMETERS angstrom
3.381 0.000 0.000
0.000 3.381 0.000
0.000 0.000 6.794
ATOMIC_POSITIONS angstrom
Ta 1.690 1.690 1.411
Ta 0.000 0.000 6.632
P 1.690 1.690 5.467
Y 0.000 0.000 3.475
! electronic total energy: -9.17 eV per atom
! total moment: 0.00 μB/cell
! volume: 19.41 Å³ per atom
! SG: P4mm, No. 99
! energy relative to the elements: -0.2769 eV/atom

---

Record 3
! GGA-PBE Ba2WAu, relaxed; values from VASP
&SYSTEM
  ibrav = 0, nat = 4, ntyp = 3
/
ATOMIC_SPECIES
W 183.84 W.upf
Ba 137.33 Ba.upf
Au 196.97 Au.upf
CELL_PARAMETERS angstrom
4.738 0.000 0.000
0.000 5.151 -0.004
0.000 2.578 5.719
ATOMIC_POSITIONS angstrom
W 0.000 4.830 3.112
Ba 2.369 2.254 1.836
Ba 0.000 7.407 5.252
Au 2.369 4.831 4.087
! electronic total energy: -4.47 eV per atom
! total moment: 1.17 μB/cell
! volume: 34.90 Å³ per atom
! SG: Amm2, No. 38
! energy relative to the elements: 0.5453 eV/atom

---

Record 4
! GGA-PBE PrSmDy4, relaxed; values from VASP
&SYSTEM
  ibrav = 0, nat = 6, ntyp = 3
/
ATOMIC_SPECIES
Sm 150.36 Sm.upf
Dy 162.50 Dy.upf
Pr 140.91 Pr.upf
CELL_PARAMETERS angstrom
6.632 0.000 0.000
3.316 5.744 0.000
3.316 1.915 5.415
ATOMIC_POSITIONS angstrom
Sm 3.316 1.915 1.354
Dy 8.286 4.784 3.383
Dy 6.632 3.829 0.682
Dy 4.978 4.784 3.383
Dy 6.632 1.919 3.383
Pr 0.000 0.000 0.000
! electronic total energy: -4.37 eV per atom
! total moment: 1.54 μB/cell
! volume: 34.38 Å³ per atom
! SG: F-43m, No. 216
! energy relative to the elements: 0.2813 eV/atom

---

Record 5
! GGA-PBE Sm2HoHg, relaxed; values from VASP
&SYSTEM
  ibrav = 0, nat = 8, ntyp = 3
/
ATOMIC_SPECIES
Hg 200.59 Hg.upf
Sm 150.36 Sm.upf
Ho 164.93 Ho.upf
CELL_PARAMETERS angstrom
5.179 0.000 0.000
0.000 5.179 0.000
0.000 0.000 8.890
ATOMIC_POSITIONS angstrom
Hg 0.000 0.000 0.000
Hg 2.589 2.589 0.000
Sm 2.589 0.000 1.967
Sm 0.000 0.000 4.445
Sm 0.000 2.589 6.923
Sm 2.589 2.589 4.445
Ho 0.000 2.589 1.946
Ho 2.589 0.000 6.944
! electronic total energy: -3.81 eV per atom
! total moment: 0.00 μB/cell
! volume: 29.80 Å³ per atom
! SG: P4/nmm, No. 129
! energy relative to the elements: -0.2264 eV/atom

---

Record 6
! GGA-PBE CaBiNF2, relaxed; values from VASP
&SYSTEM
  ibrav = 0, nat = 5, ntyp = 4
/
ATOMIC_SPECIES
F 19.00 F.upf
Ca 40.08 Ca.upf
Bi 208.98 Bi.upf
N 14.01 N.upf
CELL_PARAMETERS angstrom
-3.793 2.435 -0.901
-0.525 -2.281 -3.956
-2.538 -3.155 2.156
ATOMIC_POSITIONS angstrom
F -1.896 1.218 -0.450
F -0.263 -1.140 -1.978
Ca -3.428 -1.500 -1.350
Bi 0.000 0.000 0.000
N -1.269 -1.578 1.078
! electronic total energy: -4.74 eV per atom
! total moment: 0.00 μB/cell
! volume: 19.38 Å³ per atom
! SG: P4/mmm, No. 123

---

Record 7
! GGA-PBE Pr8AgSn2, relaxed; values from VASP
&SYSTEM
  ibrav = 0, nat = 11, ntyp = 3
/
ATOMIC_SPECIES
Pr 140.91 Pr.upf
Sn 118.71 Sn.upf
Ag 107.87 Ag.upf
CELL_PARAMETERS angstrom
5.255 0.000 0.000
0.000 7.052 0.130
-2.627 -2.819 9.604
ATOMIC_POSITIONS angstrom
Pr 2.627 3.194 5.591
Pr 0.000 -1.912 6.638
Pr 2.627 6.145 3.096
Pr 0.000 5.369 0.419
Pr 0.000 1.386 7.880
Pr 2.627 -1.136 9.315
Pr 0.000 1.039 4.144
Pr 2.627 2.847 1.854
Sn 2.627 -0.047 6.172
Sn 0.000 4.280 3.562
Ag 2.627 0.000 0.000
! electronic total energy: -4.78 eV per atom
! total moment: 0.00 μB/cell
! volume: 32.53 Å³ per atom
! SG: C2/m, No. 12
! energy relative to the elements: -0.3145 eV/atom

---

Record 8
! GGA-PBE SrBe2Se, relaxed; values from VASP
&SYSTEM
  ibrav = 0, nat = 4, ntyp = 3
/
ATOMIC_SPECIES
Se 78.96 Se.upf
Be 9.01 Be.upf
Sr 87.62 Sr.upf
CELL_PARAMETERS angstrom
-3.119 -2.241 4.801
0.704 -1.636 5.884
-1.842 1.467 5.679
ATOMIC_POSITIONS angstrom
Se -2.287 -1.295 8.792
Be -1.189 -0.673 4.570
Be -4.044 -2.290 15.545
Sr -3.123 -1.769 12.005
! electronic total energy: -3.23 eV per atom
! total moment: 0.00 μB/cell
! volume: 19.91 Å³ per atom
! SG: R3m, No. 160